The following is a DFT calculation (PBE-GGA) of an optimized crystal structure of PrPuW.

Results
* total moment: 1.7085 μB/atom
* total energy: -9.293 eV per atom
* ΔH_f (0 K): 1.327 eV per atom

a = 4.6974 Å, b = 4.6974 Å, c = 4.6974 Å
α = 60.00°, β = 60.00°, γ = 60.00°
Last column: nearest neighbours and their distance in Å.
Atoms (fractional coordinates):
Pr  0.2500  0.2500  0.2500  4 Pu 2.88
Pu  0.0000  0.0000  0.0000  4 Pr 2.88, 4 W 2.88
W  0.7500  0.7500  0.7500  4 Pu 2.88


The following is a DFT calculation (PBE-GGA) of an optimized crystal structure of LiMgHgAu.

Results
* total energy: -2.202 eV per atom
* excess energy over the best structure of this formula in the dataset: 0 meV/atom

a = 4.6842 Å, b = 4.6842 Å, c = 4.6842 Å
α = 60.00°, β = 60.00°, γ = 60.00°
Last column: nearest neighbours and their distance in Å.
Atoms (fractional coordinates):
Au  0.0000  0.0000  0.0000  4 Mg 2.87, 4 Li 2.87
Hg  0.5000  0.5000  0.5000  4 Mg 2.87, 4 Li 2.87
Li  0.7500  0.7500  0.7500  4 Au 2.87, 4 Hg 2.87
Mg  0.2500  0.2500  0.2500  4 Au 2.87, 4 Hg 2.87


The following is a DFT calculation (PBE-GGA) of an optimized crystal structure of GaBAu.

Results
* total energy: -3.636 eV per atom
* excess energy over the best structure of this formula in the dataset: 0 meV/atom

a = 4.0669 Å, b = 4.0669 Å, c = 4.0669 Å
α = 60.00°, β = 60.00°, γ = 60.00°
Last column: nearest neighbours and their distance in Å.
Atoms (fractional coordinates):
Au  0.0000  0.0000  0.0000  4 Ga 2.49, 4 B 2.49
B  0.2500  0.2500  0.2500  4 Au 2.49
Ga  0.7500  0.7500  0.7500  4 Au 2.49


Number 1: ρ 12.89 g/cm3. Number 2: ρ 9.80 g/cm3. Number 3: ρ 9.69 g/cm3.